[1]
# KBaB3 (PBE-GGA, relaxed)
data_KBaB3
_chemical_formula_sum 'K1 Ba1 B3'
_cell_length_a 5.0810
_cell_length_b 5.0810
_cell_length_c 5.0810
_cell_angle_alpha 90.00
_cell_angle_beta 90.00
_cell_angle_gamma 90.00
_symmetry_space_group_name_H-M 'P m -3 m'
_symmetry_Int_Tables_number 221
_symmetry_space_group_name_Hall '-P 4 2 3'
loop_
_atom_site_label
_atom_site_fract_x
_atom_site_fract_y
_atom_site_fract_z
K1 0.0000 0.0000 0.0000
Ba1 0.5000 0.5000 0.5000
B1 0.0000 0.0000 0.5000
# Distance to the lowest polymorph of the same formula, eV/atom: 0.065
# N(E_F), states/eV/cell: 5.4
# Total magnetic moment, μB per formula unit: 0.00
# Energy relative to the elements, meV/atom: 2416

[2]
# K3BaB (PBE-GGA, relaxed)
data_K3BaB
_chemical_formula_sum 'K3 Ba1 B1'
_cell_length_a 8.1906
_cell_length_b 8.1906
_cell_length_c 8.1906
_cell_angle_alpha 90.00
_cell_angle_beta 90.00
_cell_angle_gamma 90.00
_symmetry_space_group_name_H-M 'P m -3 m'
_symmetry_Int_Tables_number 221
_symmetry_space_group_name_Hall '-P 4 2 3'
loop_
_atom_site_label
_atom_site_fract_x
_atom_site_fract_y
_atom_site_fract_z
K1 0.0000 0.0000 0.5000
Ba1 0.0000 0.0000 0.0000
B1 0.5000 0.5000 0.5000
# Distance to the lowest polymorph of the same formula, eV/atom: 0.785
# N(E_F), states/eV/cell: 14.6
# Total magnetic moment, μB per formula unit: 1.99
# Energy relative to the elements, meV/atom: 1625

[3]
# KBaLiB2 (PBE-GGA, relaxed)
data_KBaLiB2
_chemical_formula_sum 'K1 Ba1 Li1 B2'
_cell_length_a 5.4240
_cell_length_b 5.4240
_cell_length_c 6.0323
_cell_angle_alpha 90.00
_cell_angle_beta 90.00
_cell_angle_gamma 90.00
_symmetry_space_group_name_H-M 'P 4/m m m'
_symmetry_Int_Tables_number 123
_symmetry_space_group_name_Hall '-P 4 2'
loop_
_atom_site_label
_atom_site_fract_x
_atom_site_fract_y
_atom_site_fract_z
K1 0.0000 0.0000 0.0000
Ba1 0.5000 0.5000 0.5000
Li1 0.5000 0.5000 0.0000
B1 0.0000 0.5000 0.5000
# N(E_F), states/eV/cell: 5.4
# Total magnetic moment, μB per formula unit: 0.52
# Energy relative to the elements, meV/atom: 1723

[4]
# KBaBN2 (PBE-GGA, relaxed)
data_KBaBN2
_chemical_formula_sum 'K2 Ba2 B2 N4'
_cell_length_a 5.9097
_cell_length_b 4.9182
_cell_length_c 7.5807
_cell_angle_alpha 90.00
_cell_angle_beta 99.78
_cell_angle_gamma 90.00
_symmetry_space_group_name_H-M 'P 1 2/c 1'
_symmetry_Int_Tables_number 13
loop_
_symmetry_equiv_pos_as_xyz
'x,y,z'
'-x,-y,-z'
'-x,y,-z+1/2'
'x,-y,z+1/2'
loop_
_atom_site_label
_atom_site_fract_x
_atom_site_fract_y
_atom_site_fract_z
K1 0.0000 0.0510 0.2500
Ba1 0.5000 0.3610 0.7500
B1 0.0000 0.5000 0.0000
N1 0.2048 0.3739 0.0031
# Raw formation energy, eV per atom: -0.7000
# Total magnetic moment, μB per formula unit: 0.00

[5]
# K2Ba2BO4 (PBE-GGA, relaxed)
data_K2Ba2BO4
_chemical_formula_sum 'K4 Ba4 B2 O8'
_cell_length_a 6.2222
_cell_length_b 6.2222
_cell_length_c 7.8847
_cell_angle_alpha 90.00
_cell_angle_beta 90.00
_cell_angle_gamma 90.00
_symmetry_space_group_name_H-M 'I 4/m m m'
_symmetry_Int_Tables_number 139
_symmetry_space_group_name_Hall '-I 4 2'
loop_
_atom_site_label
_atom_site_fract_x
_atom_site_fract_y
_atom_site_fract_z
K1 0.0000 0.5000 0.2500
Ba1 0.0000 0.0000 0.1936
B1 0.0000 0.0000 0.5000
O1 0.1934 0.1934 0.5000
# Raw formation energy, eV per atom: -0.9868
# N(E_F), states/eV/cell: 2.2
# Total magnetic moment, μB per formula unit: 0.00

[6]
# KBa3B2O6 (PBE-GGA, relaxed)
data_KBa3B2O6
_chemical_formula_sum 'K1 Ba3 B2 O6'
_cell_length_a 5.6709
_cell_length_b 5.6709
_cell_length_c 7.9947
_cell_angle_alpha 90.00
_cell_angle_beta 90.00
_cell_angle_gamma 120.00
_symmetry_space_group_name_H-M 'P -3 m 1'
_symmetry_Int_Tables_number 164
_symmetry_space_group_name_Hall '-P 3 2"'
loop_
_atom_site_label
_atom_site_fract_x
_atom_site_fract_y
_atom_site_fract_z
K1 0.0000 0.0000 0.0000
Ba1 0.0000 0.0000 0.5000
Ba2 0.3333 0.6667 0.2162
B1 0.3333 0.6667 0.7525
O1 0.1911 0.3821 0.7555
# Raw formation energy, eV per atom: -2.4261
# N(E_F), states/eV/cell: 1.3
# Total magnetic moment, μB per formula unit: 0.00